VASP calculation (PBE-GGA) on a relaxed TlCdCl2 crystal.

```
4
Lattice="4.342 0.000 0.000 0.000 4.342 0.000 0.000 0.000 6.606" Properties=species:S:1:pos:R:3 pbc="T T T"
Tl 0.000 0.000 0.000
Cd 2.171 2.171 3.249
Cl 0.000 0.000 3.209
Cl 2.171 2.171 6.014
```

Output
Its total energy is -2.4311 eV/atom. The value obtained for the polymorph energy (0 for the lowest one) is 0.0372 eV per atom.